Pa2Ge3Rh5 | GGA-PBE | optimized geometry

Cell: 10.6924 11.4758 5.7464 Å, 90.00 90.00 90.00°
Space group Ibam (No. 72)
Symmetry-distinct sites (fractional):
Pa: 0.1290 0.2200 0.0000 (multiplicity 8)
Ge: 0.0000 0.5000 0.2500 (multiplicity 4)
Ge: 0.1384 0.1172 0.5000 (multiplicity 8)
Rh: 0.0000 0.0000 0.2500 (multiplicity 4)
Rh: 0.0980 0.3251 0.5000 (multiplicity 8)
Rh: 0.2278 0.5000 0.2500 (multiplicity 8)

Calculated values
energy of formation from the pure elements	-0.75	eV per atom
calculated total energy	-308.47	eV per cell
size of the total moment	0.00	μB per formula unit